P:
Crystalline KHfSb2 at its relaxed geometry. Source: the Alexandria database, functional PBE-GGA.

The value obtained for the density of states at the Fermi level is 2.9 states/eV/f.u. The symmetry is No. 123.

abc: 3.447 3.447 9.222
angles: 90.00 90.00 90.00
Atoms (fractional coordinates):
Sb 0.000 0.000 0.792
Sb 0.000 0.000 0.208
K 0.500 0.500 0.500
Hf 0.500 0.500 0.000

***

Q:
Crystalline KHfSb2 at its relaxed geometry. Source: the Alexandria database, functional PBE-GGA.

The value obtained for the density of states at the Fermi level is 1.4 states/eV/f.u. The symmetry is No. 160.

abc: 3.983 3.983 9.313
angles: 77.65 77.65 60.00
Atoms (fractional coordinates):
K 0.499 0.499 0.502
Hf 0.667 0.667 0.998
Sb 0.067 0.067 0.798
Sb 0.266 0.266 0.202

***

Which of them is the most stable? Correct choice: Q.

***

P:
Crystalline KHfSc at its relaxed geometry. Source: the Alexandria database, functional PBE-GGA.

The value obtained for the density of states at the Fermi level is 3.5 states/eV/f.u. The symmetry is No. 1.

abc: 12.079 3.319 5.790
angles: 73.47 97.81 91.21
Atoms (fractional coordinates):
Sc 0.719 0.704 0.686
Sc 0.768 0.973 0.160
K 0.012 0.214 0.715
K 0.291 0.866 0.300
Hf 0.571 0.383 0.309
Hf 0.530 0.106 0.852

***

Q:
Crystalline KHfSc at its relaxed geometry. Source: the Alexandria database, functional PBE-GGA.

The value obtained for the density of states at the Fermi level is 3.4 states/eV/f.u. The symmetry is No. 62.

abc: 13.932 5.885 5.242
angles: 90.00 90.00 90.00
Atoms (fractional coordinates):
Sc 0.000 0.000 0.000
Sc 0.500 0.500 0.500
Sc 0.500 0.000 0.500
Sc 0.000 0.500 0.000
K 0.734 0.250 0.001
K 0.766 0.750 0.501
K 0.266 0.750 0.999
K 0.234 0.250 0.499
Hf 0.475 0.250 0.000
Hf 0.025 0.750 0.500
Hf 0.525 0.750 0.000
Hf 0.975 0.250 0.500

***

Which of them is the most stable? Correct choice: P.

***

P:
Crystalline KHfSc at its relaxed geometry. Source: the Alexandria database, functional PBE-GGA.

The value obtained for the density of states at the Fermi level is 6.9 states/eV/f.u. The symmetry is No. 194.

abc: 5.748 5.748 10.483
angles: 90.00 90.00 120.00
Atoms (fractional coordinates):
Sc 0.000 0.000 0.250
Sc 0.000 0.000 0.750
K 0.333 0.667 0.250
K 0.667 0.333 0.750
Hf 0.000 0.000 0.000
Hf 0.000 0.000 0.500

***

Q:
Crystalline KHfSc at its relaxed geometry. Source: the Alexandria database, functional PBE-GGA.

The value obtained for the density of states at the Fermi level is 5.9 states/eV/f.u. The symmetry is No. 1.

abc: 13.103 3.363 5.231
angles: 90.00 87.63 82.89
Atoms (fractional coordinates):
Sc 0.732 0.520 0.493
Sc 0.746 0.013 0.999
K 0.003 0.887 0.459
K 0.299 0.228 0.930
Hf 0.548 0.108 0.369
Hf 0.561 0.602 0.881

***

R:
Crystalline KHfSc at its relaxed geometry. Source: the Alexandria database, functional PBE-GGA.

The value obtained for the density of states at the Fermi level is 3.9 states/eV/f.u. The symmetry is No. 1.

abc: 5.438 3.266 13.322
angles: 109.60 80.82 107.16
Atoms (fractional coordinates):
Sc 0.506 0.332 0.455
Sc 0.932 0.117 0.144
K 0.450 0.579 0.935
K 0.987 0.892 0.663
Hf 0.455 0.534 0.257
Hf 0.983 0.915 0.342

***

S:
Crystalline KHfSc at its relaxed geometry. Source: the Alexandria database, functional PBE-GGA.

The value obtained for the density of states at the Fermi level is 2.9 states/eV/f.u. The symmetry is No. 6.

abc: 3.290 4.988 12.867
angles: 90.00 82.93 90.00
Atoms (fractional coordinates):
Sc 0.805 0.000 0.792
Sc 0.345 0.500 0.708
K 0.201 0.500 0.011
K 0.544 0.000 0.293
Hf 0.407 0.000 0.581
Hf 0.944 0.500 0.504

***

Which of them is the most stable? Correct choice: R.